(1)
PBE Sr4AlPd4, relaxed; ΔE_f = -582 meV per atom; energy = -72.96 eV for the cell shown; volume = 27.64 Å³/atom; spin magnetization = 0.00 μB/cell; space-group type = P4_2/n
1.0
8.9664 0.0000 0.0000
0.0000 8.9664 0.0000
0.0000 0.0000 6.1890
Sr Al Pd
8 2 8
Direct
0.0369 0.6850 0.1150
0.1850 0.9631 0.6150
0.3150 0.5369 0.6150
0.4631 0.8150 0.1150
0.5369 0.1850 0.8850
0.6850 0.4631 0.3850
0.8150 0.0369 0.3850
0.9631 0.3150 0.8850
0.2500 0.2500 0.2500
0.7500 0.7500 0.7500
0.0255 0.3672 0.3928
0.1328 0.0255 0.1072
0.3672 0.4745 0.1072
0.4745 0.1328 0.3928
0.5255 0.8672 0.6072
0.6328 0.5255 0.8928
0.8672 0.9745 0.8928
0.9745 0.6328 0.6072



(2)
PBE Pm3Sn4Pd2, relaxed; ΔE_f = -806 meV per atom; energy = -47.90 eV for the cell shown; volume = 25.27 Å³/atom; spin magnetization = 0.00 μB/cell; space-group type = C2/m
1.0
5.7357 -2.3302 0.0000
5.7357 2.3302 0.0000
-2.6341 0.0000 8.5076
Pm Sn Pd
3 4 2
Direct
0.0000 0.0000 0.0000
0.3682 0.3682 0.3110
0.6318 0.6318 0.6890
0.0799 0.0799 0.3910
0.2953 0.2953 0.9260
0.7047 0.7047 0.0740
0.9201 0.9201 0.6090
0.3066 0.3066 0.6255
0.6934 0.6934 0.3745



(3)
PBE CeFeNi, relaxed; ΔE_f = -208 meV per atom; energy = -41.61 eV for the cell shown; volume = 15.41 Å³/atom; spin magnetization = 1.56 μB/cell; space-group type = Imma
1.0
-2.4808 2.5198 3.6978
2.4808 -2.5198 3.6978
2.4808 2.5198 -3.6978
Ce Fe Ni
2 2 2
Direct
0.3732 0.1232 0.2500
0.6268 0.8768 0.7500
0.0000 0.0000 0.5000
0.0000 0.5000 0.0000
0.0000 0.5000 0.5000
0.5000 0.5000 0.0000



(4)
PBE Nd7Al2Ga2, relaxed; ΔE_f = -137 meV per atom; energy = -48.42 eV for the cell shown; volume = 30.70 Å³/atom; spin magnetization = 0.00 μB/cell; space-group type = Cmmm
1.0
3.9569 -5.6170 0.0000
3.9569 5.6170 0.0000
0.0000 0.0000 7.5981
Nd Al Ga
7 2 2
Direct
0.0000 0.0000 0.0000
0.0000 0.5000 0.2848
0.0000 0.5000 0.7152
0.5000 0.0000 0.2848
0.5000 0.0000 0.7152
0.5000 0.5000 0.2589
0.5000 0.5000 0.7411
0.1644 0.1644 0.5000
0.8356 0.8356 0.5000
0.2889 0.7111 0.0000
0.7111 0.2889 0.0000



(5)
PBE U2Co9Mo, relaxed; ΔE_f = -162 meV per atom; energy = -99.31 eV for the cell shown; volume = 12.63 Å³/atom; spin magnetization = 2.30 μB/cell; space-group type = P4/mmm
1.0
3.7045 0.0000 0.0000
0.0000 3.7045 0.0000
0.0000 0.0000 11.0432
U Co Mo
2 9 1
Direct
0.0000 0.0000 0.1712
0.0000 0.0000 0.8288
0.0000 0.5000 0.0000
0.0000 0.5000 0.3424
0.0000 0.5000 0.6576
0.5000 0.0000 0.0000
0.5000 0.0000 0.3424
0.5000 0.0000 0.6576
0.5000 0.5000 0.1715
0.5000 0.5000 0.5000
0.5000 0.5000 0.8285
0.0000 0.0000 0.5000



(6)
PBE TaMnFeMo2, relaxed; ΔE_f = 1321 meV per atom; energy = -44.54 eV for the cell shown; volume = 17.40 Å³/atom; spin magnetization = 0.00 μB/cell; space-group type = P4/mmm
1.0
4.3758 0.0000 0.0000
0.0000 4.3758 0.0000
0.0000 0.0000 4.5441
Ta Mn Fe Mo
1 1 1 2
Direct
0.0000 0.0000 0.0000
0.0000 0.0000 0.5000
0.5000 0.5000 0.0000
0.0000 0.5000 0.5000
0.5000 0.0000 0.5000



(7)
PBE Pm3ThCd2, relaxed; ΔE_f = -208 meV per atom; energy = -24.75 eV for the cell shown; volume = 29.54 Å³/atom; spin magnetization = 0.27 μB/cell; space-group type = P4/mmm
1.0
3.6742 0.0000 0.0000
0.0000 3.6742 0.0000
0.0000 0.0000 13.1312
Pm Th Cd
3 1 2
Direct
0.0000 0.0000 0.0000
0.0000 0.0000 0.3170
0.0000 0.0000 0.6830
0.5000 0.5000 0.5000
0.5000 0.5000 0.1581
0.5000 0.5000 0.8419



(8)
PBE Gd2LuMg, relaxed; ΔE_f = 16 meV per atom; energy = -34.22 eV for the cell shown; volume = 29.19 Å³/atom; spin magnetization = 14.75 μB/cell; polymorph energy (0 for the lowest one) = 3.9 kJ per mole of atoms; space-group type = Fm-3m
1.0
0.0000 3.8794 3.8794
3.8794 0.0000 3.8794
3.8794 3.8794 0.0000
Gd Lu Mg
2 1 1
Direct
0.2500 0.2500 0.2500
0.7500 0.7500 0.7500
0.0000 0.0000 0.0000
0.5000 0.5000 0.5000